# PBE Sm2IrO6, optimized geometry
data_Sm2IrO6
_cell_length_a 5.0845
_cell_length_b 5.0845
_cell_length_c 10.2327
_cell_angle_alpha 90.00
_cell_angle_beta 90.00
_cell_angle_gamma 90.00
_symmetry_space_group_name_H-M 'P 42/m n m'
_symmetry_Int_Tables_number 136
_symmetry_space_group_name_Hall '-P 4n 2n'
loop_
_atom_site_label
_atom_site_type_symbol
_atom_site_fract_x
_atom_site_fract_y
_atom_site_fract_z
_atom_site_occupancy
Sm1 Sm 0.0000 0.0000 0.1689 1
Ir1 Ir 0.0000 0.0000 0.5000 1
O1 O 0.1829 0.1829 0.3572 1
O2 O 0.2293 0.2293 0.0000 1
# **ΔE_f (raw)**: -2123.6 meV per atom
# **Excess energy over the best structure of this formula in the dataset**: 75.0 meV per atom